#P
# ZnCoSn3 PBE relaxed
# size of the total moment = 0.00 μB/cell
data_ZnCoSn3
_chemical_formula_sum 'Zn1 Co1 Sn3'
_cell_length_a 4.931
_cell_length_b 4.931
_cell_length_c 4.931
_cell_angle_alpha 90.00
_cell_angle_beta 90.00
_cell_angle_gamma 90.00
_space_group_name_H-M_alt 'P m -3 m'
_space_group_IT_number 221
_space_group_name_Hall '-P 4 2 3'
loop_
_atom_site_label
_atom_site_fract_x
_atom_site_fract_y
_atom_site_fract_z
_atom_site_occupancy
Zn1 0.000 0.000 0.000 1
Co1 0.500 0.500 0.500 1
Sn1 0.000 0.500 0.500 1



#Q
# ZnCoSn3 PBE relaxed
# size of the total moment = 1.75 μB/cell
data_ZnCoSn3
_chemical_formula_sum 'Zn1 Co1 Sn3'
_cell_length_a 5.148
_cell_length_b 5.148
_cell_length_c 5.148
_cell_angle_alpha 90.00
_cell_angle_beta 90.00
_cell_angle_gamma 90.00
_space_group_name_H-M_alt 'P m -3 m'
_space_group_IT_number 221
_space_group_name_Hall '-P 4 2 3'
loop_
_atom_site_label
_atom_site_fract_x
_atom_site_fract_y
_atom_site_fract_z
_atom_site_occupancy
Zn1 0.000 0.000 0.000 1
Co1 0.500 0.500 0.500 1
Sn1 0.000 0.000 0.500 1



Tell me which of them is the least stable. Sure, it is #Q.



#P
# SrCo4 PBE relaxed
# size of the total moment = 5.72 μB/cell
data_SrCo4
_chemical_formula_sum 'Sr1 Co4'
_cell_length_a 4.594
_cell_length_b 4.594
_cell_length_c 4.594
_cell_angle_alpha 90.00
_cell_angle_beta 90.00
_cell_angle_gamma 90.00
_space_group_name_H-M_alt 'P m -3 m'
_space_group_IT_number 221
_space_group_name_Hall '-P 4 2 3'
loop_
_atom_site_label
_atom_site_fract_x
_atom_site_fract_y
_atom_site_fract_z
_atom_site_occupancy
Sr1 0.000 0.000 0.000 1
Co1 0.000 0.000 0.500 1
Co2 0.500 0.500 0.500 1



#Q
# SrCo4 PBE relaxed
# size of the total moment = 12.74 μB/cell
data_SrCo4
_chemical_formula_sum 'Sr2 Co8'
_cell_length_a 7.365
_cell_length_b 7.365
_cell_length_c 2.709
_cell_angle_alpha 90.00
_cell_angle_beta 90.00
_cell_angle_gamma 90.00
_space_group_name_H-M_alt 'I 4/m'
_space_group_IT_number 87
_space_group_name_Hall '-I 4'
loop_
_atom_site_label
_atom_site_fract_x
_atom_site_fract_y
_atom_site_fract_z
_atom_site_occupancy
Sr1 0.000 0.000 0.000 1
Co1 0.137 0.359 0.500 1



Tell me which of them is the least stable. Sure, it is #P.